This record from Alexandria via LeMat-Bulk describes PmMn2O4 after structural relaxation. The functional is PBE with a Hubbard U.

Summary:
- Total energy: -7.860 eV/atom
- Space group: C2/c, No. 15
- Spin magnetization: 18.000 Bohr magnetons per cell

a = 6.195 Å, b = 6.473 Å, c = 6.060 Å
α = 110.96°, β = 109.08°, γ = 110.19°
Site moments in Bohr magnetons follow the coordinates.
Fractional coordinates of all 14 atoms:
O 0.344 0.571 0.191  0.03
Mn 0.625 0.375 0.250  3.90
O 0.906 0.180 0.309  0.03
Pm 0.264 0.764 0.528  0.03
Mn 0.625 0.875 0.250  3.90
Pm 0.986 0.986 0.972  0.03
O 0.345 0.157 0.846  0.02
O 0.403 0.129 0.309  0.03
O 0.502 0.689 0.846  0.02
O 0.748 0.061 0.654  0.02
Mn 0.125 0.375 0.750  4.61
O 0.905 0.593 0.654  0.02
Mn 0.625 0.375 0.750  4.61
O 0.847 0.621 0.191  0.03